## CrCoMo2 (PBE)

Data for a relaxed CrCoMo2 crystal.

DFT formation energy = 0.17 eV per atom
Total moment = 2.7 μB/cell
Energy above the lowest structure with this stoichiometry = 4.7 kJ/mol of atoms

The structure in extended XYZ format:
```
4
Lattice="3.082 0.000 0.000 0.000 3.082 0.000 0.000 0.000 5.824" Properties=species:S:1:pos:R:3 pbc="T T T"
Cr 0.000 0.000 0.000
Co 1.541 1.541 4.431
Mo 0.000 0.000 3.025
Mo 1.541 1.541 1.409
```